# DyTmPu

DyTmPu after structural relaxation (PBE-GGA, Alexandria).

Summary:
As for the density of states at the Fermi level: 7.574 states/eV/cell. For the excess energy over the best structure of this formula in the dataset, the calculation gives 76 meV/atom. The calculation puts the size of the total moment at 5.75 μB/cell. As for the symmetry: P-6m2 (187).

abc: 5.5708 5.5708 3.2684
angles: 90.00 90.00 120.00
Positions (direct):
Dy1 0.0000 0.0000 0.0000
Tm1 0.3333 0.6667 0.0000
Pu1 0.6667 0.3333 0.5000



# Dy2Tm6Pu

Dy2Tm6Pu after structural relaxation (PBE-GGA, Alexandria).

Summary:
As for the density of states at the Fermi level: 17.249 states/eV/cell. The calculation puts the size of the total moment at 6.67 μB/cell. As for the symmetry: P-1 (2).

abc: 3.4635 8.2763 10.0613
angles: 76.29 80.17 77.93
Positions (direct):
Dy1 0.0407 0.1764 0.2401
Dy2 0.9593 0.8236 0.7599
Tm1 0.2231 0.1659 0.8899
Tm2 0.3180 0.5245 0.3380
Tm3 0.3908 0.1642 0.5558
Tm4 0.6092 0.8358 0.4442
Tm5 0.6820 0.4755 0.6620
Tm6 0.7769 0.8341 0.1101
Pu1 0.5000 0.5000 0.0000



# DyTm2Pu

DyTm2Pu after structural relaxation (PBE-GGA, Alexandria).

Summary:
As for the density of states at the Fermi level: 38.123 states/eV/cell. For the excess energy over the best structure of this formula in the dataset, the calculation gives 94 meV/atom. The calculation puts the size of the total moment at 25.92 μB/cell. As for the symmetry: Fm-3m (225).

abc: 7.8218 7.8218 7.8218
angles: 90.00 90.00 90.00
Positions (direct):
Dy1 0.0000 0.0000 0.0000
Dy2 0.0000 0.5000 0.5000
Dy3 0.5000 0.0000 0.5000
Dy4 0.5000 0.5000 0.0000
Tm1 0.2500 0.2500 0.2500
Tm2 0.2500 0.2500 0.7500
Tm3 0.2500 0.7500 0.2500
Tm4 0.2500 0.7500 0.7500
Tm5 0.7500 0.2500 0.2500
Tm6 0.7500 0.2500 0.7500
Tm7 0.7500 0.7500 0.2500
Tm8 0.7500 0.7500 0.7500
Pu1 0.0000 0.0000 0.5000
Pu2 0.0000 0.5000 0.0000
Pu3 0.5000 0.0000 0.0000
Pu4 0.5000 0.5000 0.5000



Listing uncorrected energy for the structures above in their given order: -22.87; -49.74; -108.67 eV per cell.
Listing volume for the structures above in their given order: 87.8; 271.8; 478.5 Å³/cell.
Listing formation energy from the elements for the structures above in their given order: 0.18; 0.07; 0.18 eV/atom.